# Pu2NiO7

Pu2NiO7 after structural relaxation (PBE with a Hubbard U, Alexandria).

Crystal system: triclinic
ρ (g/cm3): 7.4
Total DFT energy (no corrections) (Ha/atom): -0.319
Spin magnetization (μB per cell): 6.0

Cell: 5.1345 3.3750 10.5702 Å, 80.85 58.47 70.96°
Site moments in Bohr magnetons follow the coordinates.
Sites, in units of the cell vectors:
Pu: 0.0747 0.0674 0.7889  2.58
Pu: 0.9253 0.9326 0.2111  2.58
Ni: 0.5000 0.5000 0.5000  1.73
O: 0.7868 0.6855 0.8394  -0.17
O: 0.6109 0.5559 0.2776  -0.10
O: 0.0000 0.0000 0.0000  -0.15
O: 0.2132 0.3145 0.1606  -0.17
O: 0.1870 0.1163 0.5785  -0.09
O: 0.8130 0.8837 0.4215  -0.09
O: 0.3891 0.4441 0.7224  -0.10